(1)
## RbHAu2F8 (PBE-GGA)

Data for a relaxed structure of RbHAu2F8.

Crystal system = trigonal

Cell lengths 4.928, 4.928, 8.110 Å; angles 72.31, 72.31, 60.00 degrees
Site moments in Bohr magnetons follow the coordinates.
Atoms (fractional coordinates):
F1 0.290 0.783 0.637  0.08
F2 0.710 0.217 0.363  0.08
F3 0.703 0.703 0.892  -0.01
F4 0.290 0.290 0.637  0.08
F5 0.710 0.710 0.363  0.08
F6 0.783 0.290 0.637  0.08
F7 0.217 0.710 0.363  0.08
F8 0.297 0.297 0.108  -0.01
H1 0.500 0.500 0.500  0.00
Rb1 0.000 0.000 0.000  0.00
Au1 0.210 0.210 0.370  0.18
Au2 0.790 0.790 0.630  0.18

---

(2)
## KTl2Ag2F6 (PBE-GGA)

Data for a relaxed structure of KTl2Ag2F6.

Raw formation energy = -1.59 eV per atom
Crystal system = monoclinic

Cell lengths 6.162, 6.949, 6.670 Å; angles 120.01, 90.00, 116.32 degrees
Atoms (fractional coordinates):
F1 0.135 0.800 0.118
F2 0.665 0.800 0.118
F3 0.717 0.434 0.549
F4 0.865 0.200 0.882
F5 0.283 0.566 0.451
F6 0.335 0.200 0.882
Ag1 0.074 0.148 0.262
Ag2 0.926 0.852 0.738
K1 0.500 0.000 0.500
Tl1 0.252 0.504 0.811
Tl2 0.748 0.496 0.189

---

(3)
## Nb2MoW6 (PBE-GGA)

Data for a relaxed structure of Nb2MoW6.

Formation energy from the elements = 0.34 eV/atom
Energy above the lowest structure with this stoichiometry = 0.00 eV per formula unit
Crystal system = monoclinic

Cell lengths 4.722, 8.452, 6.756 Å; angles 128.72, 122.31, 90.00 degrees
Atoms (fractional coordinates):
W1 0.500 0.831 0.000
W2 0.500 0.169 0.000
W3 0.835 0.505 0.668
W4 0.165 0.495 0.332
W5 0.165 0.838 0.332
W6 0.835 0.162 0.668
Nb1 0.670 0.670 0.340
Nb2 0.330 0.330 0.660
Mo1 0.000 0.000 0.000

---

Number 1: electronic total energy -0.22215 Ry per atom. Number 2: electronic total energy -0.26889 Ry per atom. Number 3: electronic total energy -0.86273 Ry per atom.